# 1
Crystalline K2NaAg3 at its relaxed geometry. Source: the Alexandria database, functional PBE-GGA.

Values from the calculation:
V = 496 Å³/cell
DFT formation energy = 19 meV per atom

a = 6.0454 Å, b = 6.0454 Å, c = 15.6606 Å
α = 90.00°, β = 90.00°, γ = 120.00°
Space group R-3m (No. 166, hexagonal axes)
One atom of each set of equivalent atoms:
K (0.0000, 0.0000, 0.1188) x6
Na (0.0000, 0.0000, 0.5000) x3
Ag (0.0000, 0.5000, 0.0000) x9

---

# 2
Crystalline Na5CdO4 at its relaxed geometry. Source: the Alexandria database, functional PBE-GGA.

Values from the calculation:
Formation energy from raw total energies = -1.022 eV per atom
V = 293 Å³/cell

a = 3.434 Å, b = 7.361 Å, c = 11.583 Å
α = 90.00°, β = 90.00°, γ = 90.00°
Space group Immm (No. 71)
One atom of each set of equivalent atoms:
Na (0.000, 0.000, 0.000) x2
Na (0.000, 0.276, 0.158) x8
Cd (0.000, 0.000, 0.500) x2
O (0.000, 0.000, 0.301) x4
O (0.000, 0.284, 0.500) x4

---

# 3
Crystalline ThZr2Be at its relaxed geometry. Source: the Alexandria database, functional PBE-GGA.

Values from the calculation:
V = 87 Å³/cell
DFT formation energy = 63 meV per atom

a = 3.297 Å, b = 3.297 Å, c = 7.995 Å
α = 90.00°, β = 90.00°, γ = 90.00°
Space group P4/mmm (No. 123)
One atom of each set of equivalent atoms:
Th (0.000, 0.000, 0.000) x1
Zr (0.500, 0.500, 0.311) x2
Be (0.000, 0.000, 0.500) x1

---

Repeat the first record exactly.
Crystalline K2NaAg3 at its relaxed geometry. Source: the Alexandria database, functional PBE-GGA.

Values from the calculation:
V = 496 Å³/cell
DFT formation energy = 19 meV per atom

a = 6.0454 Å, b = 6.0454 Å, c = 15.6606 Å
α = 90.00°, β = 90.00°, γ = 120.00°
Space group R-3m (No. 166, hexagonal axes)
One atom of each set of equivalent atoms:
K (0.0000, 0.0000, 0.1188) x6
Na (0.0000, 0.0000, 0.5000) x3
Ag (0.0000, 0.5000, 0.0000) x9

---

Which value of V does entry 2 give?
293 Å³/cell